[1]
This record from Alexandria describes a relaxed structure of NdBiSeO2. The functional is PBE.

a b c (Å): 3.9458 3.9458 6.8201
angles (deg): 106.81 106.81 90.00
Atoms (fractional coordinates):
Nd1 0.8560 0.8560 0.7120
Bi1 0.1552 0.1552 0.3105
Se1 0.4899 0.4899 0.9799
O1 0.7494 0.2494 0.4988
O2 0.2494 0.7494 0.4988

formation energy (no corrections) = -1.981 eV per atom
M_tot = 0.000 Bohr magnetons per cell



[2]
This record from Alexandria describes a relaxed structure of Nd4SnBiO. The functional is PBE.

a b c (Å): 6.6640 6.6066 9.6078
angles (deg): 90.00 110.29 90.00
Each line ends with the local moment (μB).
Atoms (fractional coordinates):
Nd1 0.9335 0.2500 0.8670  0.20
Nd2 0.4201 0.7500 0.8403  0.12
Nd3 0.0665 0.7500 0.1330  0.20
Nd4 0.5799 0.2500 0.1597  0.12
Nd5 0.5000 0.5000 0.5000  0.12
Nd6 0.0000 0.0000 0.5000  0.12
Nd7 0.5000 0.0000 0.5000  0.12
Nd8 0.0000 0.5000 0.5000  0.12
Sn1 0.1127 0.2500 0.2254  -0.02
Sn2 0.8873 0.7500 0.7746  -0.02
Bi1 0.6094 0.7500 0.2189  -0.02
Bi2 0.3906 0.2500 0.7811  -0.02
O1 0.2888 0.7500 0.5775  0.02
O2 0.7112 0.2500 0.4225  0.02

formation energy (no corrections) = -1.294 eV per atom
M_tot = 2.486 Bohr magnetons per cell



[3]
This record from Alexandria describes a relaxed structure of NdSnBi2O6. The functional is PBE.

a b c (Å): 6.1781 6.1786 6.0764
angles (deg): 59.44 59.44 59.98
Each line ends with the local moment (μB).
Atoms (fractional coordinates):
Nd1 0.7995 0.7996 0.6013  0.02
Sn1 0.3068 0.3068 0.0795  0.30
Bi1 0.5253 0.5254 0.4239  0.02
Bi2 0.0254 0.0253 0.9238  0.03
O1 0.6380 0.1867 0.2355  0.12
O2 0.1867 0.9397 0.2354  0.12
O3 0.9399 0.6382 0.2353  0.12
O4 0.4416 0.6603 0.7601  0.04
O5 0.6604 0.1377 0.7602  0.04
O6 0.1380 0.4417 0.7601  0.04

formation energy (no corrections) = -1.695 eV per atom
M_tot = 1.041 Bohr magnetons per cell



What did the second record say?
This record from Alexandria describes a relaxed structure of Nd4SnBiO. The functional is PBE.

a b c (Å): 6.6640 6.6066 9.6078
angles (deg): 90.00 110.29 90.00
Each line ends with the local moment (μB).
Atoms (fractional coordinates):
Nd1 0.9335 0.2500 0.8670  0.20
Nd2 0.4201 0.7500 0.8403  0.12
Nd3 0.0665 0.7500 0.1330  0.20
Nd4 0.5799 0.2500 0.1597  0.12
Nd5 0.5000 0.5000 0.5000  0.12
Nd6 0.0000 0.0000 0.5000  0.12
Nd7 0.5000 0.0000 0.5000  0.12
Nd8 0.0000 0.5000 0.5000  0.12
Sn1 0.1127 0.2500 0.2254  -0.02
Sn2 0.8873 0.7500 0.7746  -0.02
Bi1 0.6094 0.7500 0.2189  -0.02
Bi2 0.3906 0.2500 0.7811  -0.02
O1 0.2888 0.7500 0.5775  0.02
O2 0.7112 0.2500 0.4225  0.02

formation energy (no corrections) = -1.294 eV per atom
M_tot = 2.486 Bohr magnetons per cell



Number 1 is which compound?
NdBiSeO2